<a>
Compound: Fe5Se
Source: Alexandria
Functional: PBE-GGA
Structure: relaxed

```
6
Lattice="2.378 -4.120 0.000 2.378 4.120 0.000 0.000 0.000 4.183" Properties=species:S:1:pos:R:3 pbc="T T T"
Fe 2.378 1.373 0.000
Fe 2.378 -1.373 0.000
Fe 1.189 -2.060 2.092
Fe 1.189 2.060 2.092
Fe 2.378 0.000 2.092
Se 0.000 0.000 0.000
```

Output
Magnetic moment   11.81 μB/f.u.
Space-group type   P6/mmm, No. 191

<b>
Compound: Fe5Se
Source: Alexandria
Functional: PBE-GGA
Structure: relaxed

```
6
Lattice="1.811 -5.499 0.000 1.811 5.499 0.000 0.000 0.000 3.588" Properties=species:S:1:pos:R:3 pbc="T T T"
Fe 1.811 1.972 1.794
Fe 1.811 3.537 0.000
Fe 0.000 0.000 1.794
Fe 1.811 -3.537 0.000
Fe 1.811 -1.972 1.794
Se 1.811 0.000 0.000
```

Output
Magnetic moment   2.68 μB/f.u.
Space-group type   Cmmm, No. 65

Here is how they stack up, most stable first: <b>, <a>.